1.
The following is a DFT calculation (PBE-GGA) of NdTm2Al2Zn2 after structural relaxation.

Cell: 9.467 9.467 9.467 Å, 27.66 27.66 27.66°
Fractional coordinates of all 7 atoms:
Nd1 0.000 0.000 0.000
Tm1 0.129 0.129 0.129
Tm2 0.871 0.871 0.871
Al1 0.258 0.258 0.258
Al2 0.742 0.742 0.742
Zn1 0.406 0.406 0.406
Zn2 0.594 0.594 0.594

Space-group type = R-3m
DOS at the Fermi energy = 4.0 states/eV/f.u.
DFT formation energy = -0.305 eV/atom
Total moment = 0.00 μB/f.u.



2.
The following is a DFT calculation (PBE-GGA) of BaYAs2O8 after structural relaxation.

Cell: 5.707 5.707 7.771 Å, 90.00 90.00 120.00°
Fractional coordinates of all 12 atoms:
Ba1 0.000 0.000 0.000
Y1 0.000 0.000 0.500
As1 0.333 0.667 0.762
As2 0.667 0.333 0.238
O1 0.168 0.337 0.694
O2 0.170 0.832 0.694
O3 0.333 0.667 0.983
O4 0.337 0.170 0.306
O5 0.663 0.830 0.694
O6 0.667 0.333 0.017
O7 0.830 0.168 0.306
O8 0.832 0.663 0.306

Uncorrected energy = -6.775 eV per atom
Space-group type = P-3
DOS at the Fermi energy = 9.3 states/eV/f.u.
Total moment = 1.02 μB/f.u.



3.
The following is a DFT calculation (PBE-GGA) of NaZn2Ni after structural relaxation.

Cell: 4.826 4.826 16.212 Å, 90.00 90.00 90.00°
Fractional coordinates of all 16 atoms:
Na1 0.000 0.000 0.000
Na2 0.000 0.500 0.250
Na3 0.500 0.000 0.750
Na4 0.500 0.500 0.500
Zn1 0.001 0.250 0.625
Zn2 0.250 0.501 0.875
Zn3 0.250 0.999 0.375
Zn4 0.499 0.250 0.125
Zn5 0.501 0.750 0.125
Zn6 0.750 0.001 0.375
Zn7 0.750 0.499 0.875
Zn8 0.999 0.750 0.625
Ni1 0.000 0.000 0.500
Ni2 0.000 0.500 0.750
Ni3 0.500 0.000 0.250
Ni4 0.500 0.500 0.000

Space-group type = I-42d
DOS at the Fermi energy = 1.6 states/eV/f.u.
DFT formation energy = 0.257 eV/atom
Total moment = 0.00 μB/f.u.



4.
The following is a DFT calculation (PBE-GGA) of Sc2TlZn after structural relaxation.

Cell: 11.360 3.459 4.834 Å, 90.00 114.96 90.00°
Fractional coordinates of all 8 atoms:
Sc1 0.000 0.000 0.000
Sc2 0.236 0.000 0.735
Sc3 0.500 0.500 0.000
Sc4 0.736 0.500 0.735
Tl1 0.274 0.500 0.273
Tl2 0.774 0.000 0.273
Zn1 0.495 0.000 0.497
Zn2 0.995 0.500 0.497

Space-group type = Cm
DOS at the Fermi energy = 4.1 states/eV/f.u.
DFT formation energy = -0.216 eV/atom
Total moment = 0.00 μB/f.u.



5.
The following is a DFT calculation (PBE-GGA) of CsMg2Pt2 after structural relaxation.

Cell: 4.581 4.581 11.484 Å, 90.00 90.00 90.00°
Fractional coordinates of all 10 atoms:
Cs1 0.000 0.000 0.000
Cs2 0.500 0.500 0.500
Mg1 0.000 0.500 0.250
Mg2 0.000 0.500 0.750
Mg3 0.500 0.000 0.250
Mg4 0.500 0.000 0.750
Pt1 0.000 0.000 0.380
Pt2 0.000 0.000 0.620
Pt3 0.500 0.500 0.120
Pt4 0.500 0.500 0.880

Space-group type = I4/mmm
DOS at the Fermi energy = 2.4 states/eV/f.u.
DFT formation energy = -0.365 eV/atom
Total moment = 0.00 μB/f.u.



6.
The following is a DFT calculation (PBE-GGA) of CoOs2 after structural relaxation.

Cell: 9.561 2.731 6.242 Å, 90.00 104.30 90.00°
Fractional coordinates of all 12 atoms:
Co1 0.029 0.000 0.307
Co2 0.471 0.500 0.693
Co3 0.529 0.500 0.307
Co4 0.971 0.000 0.693
Os1 0.139 0.500 0.033
Os2 0.190 0.500 0.634
Os3 0.310 0.000 0.366
Os4 0.361 0.000 0.967
Os5 0.639 0.000 0.033
Os6 0.690 0.000 0.634
Os7 0.810 0.500 0.366
Os8 0.861 0.500 0.967

Space-group type = C2/m
DOS at the Fermi energy = 3.2 states/eV/f.u.
DFT formation energy = 0.095 eV/atom
Total moment = 0.80 μB/f.u.



7.
The following is a DFT calculation (PBE-GGA) of Sm2DyAg after structural relaxation.

Cell: 3.600 3.600 31.869 Å, 90.00 90.00 120.00°
Fractional coordinates of all 12 atoms:
Sm1 0.000 0.000 0.242
Sm2 0.000 0.000 0.758
Sm3 0.333 0.667 0.424
Sm4 0.333 0.667 0.909
Sm5 0.667 0.333 0.091
Sm6 0.667 0.333 0.576
Dy1 0.000 0.000 0.000
Dy2 0.333 0.667 0.667
Dy3 0.667 0.333 0.333
Ag1 0.000 0.000 0.500
Ag2 0.333 0.667 0.167
Ag3 0.667 0.333 0.833

Space-group type = R-3m
DOS at the Fermi energy = 3.8 states/eV/f.u.
DFT formation energy = -0.013 eV/atom
Total moment = 0.00 μB/f.u.



8.
The following is a DFT calculation (PBE-GGA) of Co2AsSe after structural relaxation.

Cell: 3.224 3.224 5.969 Å, 90.00 90.00 90.00°
Fractional coordinates of all 4 atoms:
Co1 0.000 0.000 0.000
Co2 0.500 0.500 0.252
As1 0.500 0.500 0.862
Se1 0.000 0.000 0.386

Uncorrected energy = -5.662 eV per atom
Space-group type = P4mm
DOS at the Fermi energy = 3.0 states/eV/f.u.
Total moment = 0.00 μB/f.u.



> Which value of DOS at the Fermi energy does entry 8 give?

3.0 states/eV/f.u.